The following is a DFT calculation (PBEsol) of a relaxed structure of Na4AgCl5.

## Properties
Space group: No. 71
Energy relative to the elements, uncorrected: -1.509 eV/atom
E: -3.404 eV/atom
N(E_F): 0.00 states/eV/cell

POSCAR file:
```
Na4AgCl5
1.0
-3.802 -1.060 0.149
1.225 -4.758 -2.600
2.833 -1.411 9.859
Na Ag Cl
4 1 5
Direct
0.598 0.598 0.197
0.199 0.199 0.398
0.801 0.801 0.602
0.402 0.402 0.803
0.000 0.000 0.000
0.800 0.300 0.600
0.403 0.903 0.807
0.000 0.500 0.000
0.597 0.097 0.193
0.200 0.700 0.400
```